Computed, not measured: a relaxed structure of ScCrAs at the PBEsol level of DFT.

abc: 4.457 4.457 4.457
angles: 60.00 60.00 60.00
Each line ends with the local moment (μB).
Fractional positions:
As (0.000, 0.000, 0.000)  -0.01
Cr (0.500, 0.500, 0.500)  3.92
Sc (0.250, 0.250, 0.250)  0.35

## Properties
Final energy   -7.0497 eV per atom
DOS at the Fermi energy   2.132 states/eV/f.u.
Energy of formation   0.268 eV per atom
Calculated volume   20.88 Å³ per atom
Space-group type   F-43m (216)